# DyScPa2S4

An optimized crystal structure of DyScPa2S4 (PBE, the Alexandria database).

- space-group type = P2/m
- uncorrected energy (eV per cell) = -60.319
- formation energy without anion corrections (eV/atom) = -1.735

Unit cell a=3.723 b=6.446 c=7.035 alpha=107.78 beta=90.00 gamma=90.00
Fractional coordinates of all 8 atoms:
Dy 0.500 0.500 0.000
Sc 0.000 0.000 0.000
Pa 0.500 0.000 0.500
Pa 0.000 0.500 0.500
S 0.500 0.236 0.233
S 0.500 0.764 0.767
S 0.000 0.247 0.763
S 0.000 0.753 0.237